1.
KZrAg3 after structural relaxation. Source: Alexandria, functional PBE.

DFT formation energy   0.673 eV/atom
M_tot   0.153 μB per atom
Crystal system   cubic
Symmetry   Pm-3m (221)

extended XYZ file:
```
5
Lattice="5.472 0.000 0.000 0.000 5.472 0.000 0.000 0.000 5.472" Properties=species:S:1:pos:R:3 pbc="T T T"
K 0.000 0.000 0.000
Zr 2.736 2.736 2.736
Ag 0.000 2.736 2.736
Ag 2.736 0.000 2.736
Ag 2.736 2.736 0.000
```



2.
Ni3PbCl after structural relaxation. Source: Alexandria, functional PBE.

Formation energy from raw total energies   234.1 kJ/mol of formula units
M_tot   0.000 μB per atom
Crystal system   cubic
Symmetry   Pm-3m (221)

extended XYZ file:
```
5
Lattice="4.336 0.000 0.000 0.000 4.336 0.000 0.000 0.000 4.336" Properties=species:S:1:pos:R:3 pbc="T T T"
Ni 0.000 0.000 2.168
Ni 0.000 2.168 0.000
Ni 2.168 0.000 0.000
Pb 2.168 2.168 2.168
Cl 0.000 0.000 0.000
```



3.
TmThCo after structural relaxation. Source: Alexandria, functional PBE.

DFT formation energy   -0.255 eV/atom
M_tot   0.000 μB per atom
Crystal system   monoclinic
Symmetry   P2_1/m (11)

extended XYZ file:
```
6
Lattice="5.685 0.000 0.000 0.000 4.134 0.000 -2.529 0.000 6.421" Properties=species:S:1:pos:R:3 pbc="T T T"
Tm -0.512 1.034 1.987
Tm 3.668 3.101 4.434
Th 2.252 3.101 1.290
Th 0.904 1.034 5.132
Co 0.680 3.101 3.501
Co 2.476 1.034 2.921
```



4.
YNiSb2 after structural relaxation. Source: Alexandria, functional PBE.

Formation energy from raw total energies   -54.7 kJ/mol of formula units
M_tot   0.000 μB per atom
Crystal system   cubic
Symmetry   Fm-3m (225)

extended XYZ file:
```
4
Lattice="0.000 3.567 3.567 3.567 0.000 3.567 3.567 3.567 0.000" Properties=species:S:1:pos:R:3 pbc="T T T"
Y 0.000 0.000 0.000
Ni 3.567 3.567 3.567
Sb 1.783 1.783 1.783
Sb 5.350 5.350 5.350
```



5.
Li2FeSi after structural relaxation. Source: Alexandria, functional PBE.

Formation energy from raw total energies   17.1 kJ/mol of formula units
M_tot   0.459 μB per atom
Crystal system   orthorhombic
Symmetry   Cmmm (65)

extended XYZ file:
```
4
Lattice="2.369 -4.293 0.000 2.369 4.293 0.000 0.000 0.000 2.532" Properties=species:S:1:pos:R:3 pbc="T T T"
Li 1.184 2.146 0.000
Li 1.184 -2.146 0.000
Fe 0.000 0.000 1.266
Si 2.369 0.000 1.266
```



6.
LiYSn after structural relaxation. Source: Alexandria, functional PBE.

DFT formation energy   -0.679 eV/atom
M_tot   0.000 μB per atom
Crystal system   hexagonal
Symmetry   P6_3/mmc (194)

extended XYZ file:
```
6
Lattice="4.700 0.000 0.000 -2.350 4.070 0.000 0.000 0.000 7.320" Properties=species:S:1:pos:R:3 pbc="T T T"
Li 0.000 2.713 1.830
Li 2.350 1.357 5.490
Y 0.000 0.000 0.000
Y 0.000 0.000 3.660
Sn 0.000 2.713 5.490
Sn 2.350 1.357 1.830
```



7.
BeAgOs after structural relaxation. Source: Alexandria, functional PBE.

DFT formation energy   0.344 eV/atom
M_tot   0.000 μB per atom
Crystal system   orthorhombic
Symmetry   Fmm2 (42)

extended XYZ file:
```
3
Lattice="0.000 2.279 6.418 1.419 0.000 6.418 1.419 2.279 0.000" Properties=species:S:1:pos:R:3 pbc="T T T"
Be 0.000 0.000 0.000
Ag 1.419 2.279 8.451
Os 1.419 2.279 4.613
```



8.
In2H2Pd5 after structural relaxation. Source: Alexandria, functional PBE.

M_tot   0.000 μB per atom
Crystal system   tetragonal
Symmetry   P4/mmm (123)
E_tot   -4.607 eV/atom

extended XYZ file:
```
9
Lattice="4.027 0.000 0.000 0.000 4.027 0.000 0.000 0.000 8.008" Properties=species:S:1:pos:R:3 pbc="T T T"
In 0.000 0.000 0.000
In 0.000 0.000 4.004
H 2.013 2.013 1.972
H 2.013 2.013 6.036
Pd 0.000 2.013 1.926
Pd 0.000 2.013 6.082
Pd 2.013 0.000 1.926
Pd 2.013 0.000 6.082
Pd 2.013 2.013 4.004
```



9.
SiPt2Pb after structural relaxation. Source: Alexandria, functional PBE.

Formation energy from raw total energies   45.4 kJ/mol of formula units
M_tot   0.000 μB per atom
Crystal system   monoclinic
Symmetry   C2/m (12)

extended XYZ file:
```
4
Lattice="2.910 -3.542 0.000 2.910 3.542 0.000 -0.624 0.000 3.589" Properties=species:S:1:pos:R:3 pbc="T T T"
Si 0.000 0.000 0.000
Pt 1.143 1.771 1.794
Pt 1.143 -1.771 1.794
Pb 2.910 0.000 0.000
```



10.
TaAlIr after structural relaxation. Source: Alexandria, functional PBE.

DFT formation energy   -0.258 eV/atom
M_tot   0.136 μB per atom
Crystal system   tetragonal
Symmetry   I4/mmm (139)

extended XYZ file:
```
6
Lattice="-1.483 1.483 11.095 1.483 -1.483 11.095 1.483 1.483 -11.095" Properties=species:S:1:pos:R:3 pbc="T T T"
Ta 0.000 0.000 1.348
Ta 0.000 0.000 20.842
Al 0.000 0.000 4.663
Al 0.000 0.000 17.527
Ir 0.000 0.000 7.800
Ir 0.000 0.000 14.390
```



11.
KNaPuO4 after structural relaxation. Source: Alexandria, functional PBE.

Formation energy from raw total energies   -1535.4 kJ/mol of formula units
M_tot   0.286 μB per atom
Crystal system   tetragonal
Symmetry   I4mm (107)

extended XYZ file:
```
7
Lattice="-2.158 2.158 6.324 2.158 -2.158 6.324 2.158 2.158 -6.324" Properties=species:S:1:pos:R:3 pbc="T T T"
K 0.000 0.000 0.000
Na 0.000 0.000 9.002
Pu 0.000 0.000 4.433
O 0.000 0.000 2.536
O 2.158 0.000 4.378
O 0.000 0.000 6.358
O 0.000 2.158 4.378
```



12.
AcY2Tm5 after structural relaxation. Source: Alexandria, functional PBE.

DFT formation energy   0.030 eV/atom
M_tot   0.000 μB per atom
Crystal system   orthorhombic
Symmetry   Pbam (55)

extended XYZ file:
```
32
Lattice="11.563 0.000 0.000 0.000 12.376 0.000 0.000 0.000 7.181" Properties=species:S:1:pos:R:3 pbc="T T T"
Ac 0.001 3.070 0.000
Ac 11.562 9.306 0.000
Ac 5.783 3.118 0.000
Ac 5.780 9.258 0.000
Y 0.003 3.078 3.590
Y 0.000 6.188 1.831
Y 0.000 6.188 5.350
Y 11.559 9.298 3.590
Y 5.781 0.000 1.831
Y 5.781 0.000 5.350
Y 5.785 3.110 3.590
Y 5.778 9.266 3.590
Tm 0.000 0.000 1.837
Tm 0.000 0.000 5.344
Tm 2.880 0.991 0.000
Tm 2.879 1.008 3.590
Tm 2.895 4.121 1.836
Tm 2.895 4.121 5.345
Tm 2.887 10.309 1.836
Tm 2.887 10.309 5.345
Tm 2.901 7.179 0.000
Tm 2.902 7.197 3.590
Tm 5.781 6.188 1.837
Tm 5.781 6.188 5.344
Tm 8.661 5.180 3.590
Tm 8.662 5.197 0.000
Tm 8.676 2.067 1.836
Tm 8.676 2.067 5.345
Tm 8.668 8.255 1.836
Tm 8.668 8.255 5.345
Tm 8.683 11.368 3.590
Tm 8.682 11.385 0.000
```



13.
Tm3ThSb3 after structural relaxation. Source: Alexandria, functional PBE.

Formation energy from raw total energies   -516.4 kJ/mol of formula units
M_tot   0.000 μB per atom
Crystal system   trigonal
Symmetry   R-3 (148)

extended XYZ file:
```
14
Lattice="4.518 2.608 6.095 -4.518 2.608 6.095 0.000 -5.217 6.095" Properties=species:S:1:pos:R:3 pbc="T T T"
Tm -1.204 -3.125 7.595
Tm -3.308 -0.520 10.690
Tm -2.104 2.605 7.595
Tm 2.104 -2.605 10.690
Tm 3.308 0.520 7.595
Tm 1.204 3.125 10.690
Th 0.000 0.000 6.098
Th 0.000 0.000 12.186
Sb -2.818 -0.361 7.642
Sb -1.097 -2.621 10.642
Sb 1.722 -2.261 7.642
Sb -1.722 2.261 10.642
Sb 1.097 2.621 7.642
Sb 2.818 0.361 10.642
```



14.
TbNd8Dy2 after structural relaxation. Source: Alexandria, functional PBE.

DFT formation energy   0.203 eV/atom
M_tot   0.000 μB per atom
Crystal system   monoclinic
Symmetry   C2/m (12)

extended XYZ file:
```
11
Lattice="7.189 -3.409 0.000 7.189 3.409 0.000 -3.590 0.000 7.878" Properties=species:S:1:pos:R:3 pbc="T T T"
Tb 0.000 0.000 0.000
Nd 3.638 1.644 4.859
Nd 2.927 0.000 1.767
Nd 7.151 1.644 3.019
Nd 5.604 0.000 0.057
Nd 5.184 0.000 7.820
Nd 3.638 -1.644 4.859
Nd 7.861 0.000 6.110
Nd 7.151 -1.644 3.019
Dy -0.634 0.000 5.964
Dy 11.422 0.000 1.913
```



15.
Sr2TlCu3O6 after structural relaxation. Source: Alexandria, functional PBE.

Formation energy from raw total energies   -1464.9 kJ/mol of formula units
M_tot   0.000 μB per atom
Crystal system   tetragonal
Symmetry   P4/mmm (123)

extended XYZ file:
```
12
Lattice="3.821 0.000 0.000 0.000 3.821 0.000 0.000 0.000 11.771" Properties=species:S:1:pos:R:3 pbc="T T T"
Sr 0.000 0.000 2.318
Sr 0.000 0.000 9.454
Tl 0.000 0.000 5.886
Cu 1.911 1.911 0.000
Cu 1.911 1.911 4.124
Cu 1.911 1.911 7.647
O 0.000 1.911 4.355
O 0.000 1.911 7.416
O 1.911 0.000 4.355
O 1.911 0.000 7.416
O 1.911 1.911 1.819
O 1.911 1.911 9.952
```



16.
KSr2HgBr after structural relaxation. Source: Alexandria, functional PBE.

Formation energy from raw total energies   -16.9 kJ/mol of formula units
M_tot   0.000 μB per atom
Crystal system   tetragonal
Symmetry   P4/mmm (123)

extended XYZ file:
```
5
Lattice="7.469 0.000 0.000 0.000 7.469 0.000 0.000 0.000 5.810" Properties=species:S:1:pos:R:3 pbc="T T T"
K 0.000 0.000 0.000
Sr 0.000 3.734 0.000
Sr 3.734 0.000 0.000
Hg 3.734 3.734 2.905
Br 0.000 0.000 2.905
```



17.
CsTlCo3 after structural relaxation. Source: Alexandria, functional PBE.

DFT formation energy   2.245 eV/atom
M_tot   0.621 μB per atom
Crystal system   cubic
Symmetry   Pm-3m (221)

extended XYZ file:
```
5
Lattice="4.849 0.000 0.000 0.000 4.849 0.000 0.000 0.000 4.849" Properties=species:S:1:pos:R:3 pbc="T T T"
Cs 0.000 0.000 0.000
Tl 2.424 2.424 2.424
Co 0.000 0.000 2.424
Co 0.000 2.424 0.000
Co 2.424 0.000 0.000
```



18.
Pa5NbTc6 after structural relaxation. Source: Alexandria, functional PBE.

DFT formation energy   -0.212 eV/atom
M_tot   0.000 μB per atom
Crystal system   triclinic
Symmetry   P-1 (2)

extended XYZ file:
```
12
Lattice="4.821 0.000 0.000 -0.433 6.632 0.000 -1.488 -3.062 7.279" Properties=species:S:1:pos:R:3 pbc="T T T"
Pa 0.000 0.000 0.000
Pa 0.655 0.264 4.831
Pa 0.482 3.565 4.710
Pa 2.418 0.006 2.569
Pa 2.245 3.306 2.448
Nb -0.217 3.316 0.000
Tc -0.143 1.707 2.195
Tc -0.362 5.031 2.203
Tc 0.798 -1.359 7.257
Tc 2.102 4.929 0.022
Tc 3.262 -1.460 5.076
Tc 3.043 1.863 5.084
```



19.
RbCuPdSe2 after structural relaxation. Source: Alexandria, functional PBE.

Formation energy from raw total energies   -260.2 kJ/mol of formula units
M_tot   0.000 μB per atom
Crystal system   orthorhombic
Symmetry   Pmmm (47)

extended XYZ file:
```
5
Lattice="3.994 0.000 0.000 0.000 4.016 0.000 0.000 0.000 7.382" Properties=species:S:1:pos:R:3 pbc="T T T"
Rb 0.000 0.000 0.000
Cu 1.997 0.000 3.691
Pd 0.000 2.008 3.691
Se 1.997 2.008 2.098
Se 1.997 2.008 5.284
```



20.
Rb2ZrInCo after structural relaxation. Source: Alexandria, functional PBE.

DFT formation energy   1.538 eV/atom
M_tot   1.007 μB per atom
Crystal system   tetragonal
Symmetry   P4/mmm (123)

extended XYZ file:
```
5
Lattice="6.925 0.000 0.000 0.000 6.925 0.000 0.000 0.000 5.584" Properties=species:S:1:pos:R:3 pbc="T T T"
Rb 0.000 3.463 0.000
Rb 3.463 0.000 0.000
Zr 0.000 0.000 0.000
In 0.000 0.000 2.792
Co 3.463 3.463 2.792
```



21.
Dy4Ho3Tm3 after structural relaxation. Source: Alexandria, functional PBE.

DFT formation energy   0.099 eV/atom
M_tot   0.000 μB per atom
Crystal system   orthorhombic
Symmetry   Amm2 (38)

extended XYZ file:
```
10
Lattice="3.680 0.000 0.000 0.000 6.491 6.495 0.000 -6.491 6.495" Properties=species:S:1:pos:R:3 pbc="T T T"
Dy 0.000 0.000 0.000
Dy 0.000 0.000 3.333
Dy 0.000 -1.660 8.169
Dy 0.000 1.660 8.169
Ho 1.840 -4.274 8.162
Ho 1.840 0.000 5.947
Ho 1.840 4.274 8.162
Tm 0.000 -3.257 4.912
Tm 0.000 3.257 4.912
Tm 1.840 0.000 10.381
```



22.
V2TcAgI after structural relaxation. Source: Alexandria, functional PBE.

Formation energy from raw total energies   563.3 kJ/mol of formula units
M_tot   0.000 μB per atom
Crystal system   tetragonal
Symmetry   P4/mmm (123)

extended XYZ file:
```
5
Lattice="4.544 0.000 0.000 0.000 4.544 0.000 0.000 0.000 5.360" Properties=species:S:1:pos:R:3 pbc="T T T"
V 0.000 2.272 0.000
V 2.272 0.000 0.000
Tc 0.000 0.000 0.000
Ag 0.000 0.000 2.680
I 2.272 2.272 2.680
```



23.
SiGe3S after structural relaxation. Source: Alexandria, functional PBE.

Formation energy from raw total energies   352.9 kJ/mol of formula units
M_tot   0.000 μB per atom
Crystal system   cubic
Symmetry   Pm-3m (221)

extended XYZ file:
```
5
Lattice="4.819 0.000 0.000 0.000 4.819 0.000 0.000 0.000 4.819" Properties=species:S:1:pos:R:3 pbc="T T T"
Si 0.000 0.000 0.000
Ge 0.000 0.000 2.409
Ge 0.000 2.409 0.000
Ge 2.409 0.000 0.000
S 2.409 2.409 2.409
```



24.
Ho4CuTc after structural relaxation. Source: Alexandria, functional PBE.

DFT formation energy   -0.087 eV/atom
M_tot   0.000 μB per atom
Crystal system   tetragonal
Symmetry   P4/mmm (123)

extended XYZ file:
```
6
Lattice="3.452 0.000 0.000 0.000 3.452 0.000 0.000 0.000 12.373" Properties=species:S:1:pos:R:3 pbc="T T T"
Ho 0.000 0.000 1.624
Ho 0.000 0.000 10.749
Ho 1.726 1.726 4.484
Ho 1.726 1.726 7.889
Cu 0.000 0.000 6.187
Tc 1.726 1.726 0.000
```